Here is a relaxed structure of PmVSbAu from Alexandria via LeMat-Bulk. Energies are from GGA-PBE.

Calculated values
For the magnetization, the calculation gives 14.9 μB/cell. As for the uncorrected formation energy: -116.5 kJ/mol of formula units.

Cell lengths 7.154, 7.154, 7.154 Å; angles 90.00, 90.00, 90.00 degrees
Sites, in units of the cell vectors:
1 Pm 0.000 0.000 0.000
2 Pm 0.000 0.500 0.500
3 Pm 0.500 0.000 0.500
4 Pm 0.500 0.500 0.000
5 V 0.000 0.000 0.500
6 V 0.000 0.500 0.000
7 V 0.500 0.000 0.000
8 V 0.500 0.500 0.500
9 Sb 0.250 0.250 0.250
10 Sb 0.250 0.750 0.750
11 Sb 0.750 0.250 0.750
12 Sb 0.750 0.750 0.250
13 Au 0.250 0.250 0.750
14 Au 0.250 0.750 0.250
15 Au 0.750 0.250 0.250
16 Au 0.750 0.750 0.750

=====

Here is a relaxed structure of Mg2NbOsBr from Alexandria via LeMat-Bulk. Energies are from GGA-PBE.

Calculated values
For the magnetization, the calculation gives 0.0 μB/cell. As for the uncorrected formation energy: 567.6 kJ/mol of formula units.

Cell lengths 5.721, 5.721, 4.604 Å; angles 90.00, 90.00, 90.00 degrees
Sites, in units of the cell vectors:
1 Mg 0.000 0.500 0.000
2 Mg 0.500 0.000 0.000
3 Nb 0.000 0.000 0.000
4 Os 0.000 0.000 0.500
5 Br 0.500 0.500 0.500

=====

Here is a relaxed structure of Mn5Al6Cu from Alexandria via LeMat-Bulk. Energies are from GGA-PBE.

Calculated values
The formation energy from the elements comes out at -0.22 eV/atom. For the magnetization, the calculation gives 9.6 μB/cell.

Cell lengths 6.733, 6.733, 5.731 Å; angles 90.00, 90.00, 143.24 degrees
Sites, in units of the cell vectors:
1 Mn 0.000 0.000 0.000
2 Mn 0.330 0.670 0.500
3 Mn 0.338 0.662 0.000
4 Mn 0.662 0.338 0.000
5 Mn 0.670 0.330 0.500
6 Al 0.169 0.831 0.240
7 Al 0.169 0.831 0.760
8 Al 0.500 0.500 0.246
9 Al 0.500 0.500 0.754
10 Al 0.831 0.169 0.240
11 Al 0.831 0.169 0.760
12 Cu 0.000 0.000 0.500

=====

Here is a relaxed structure of Tl4Pd15Au from Alexandria via LeMat-Bulk. Energies are from GGA-PBE.

Calculated values
The formation energy from the elements comes out at -0.15 eV/atom. For the magnetization, the calculation gives 0.0 μB/cell.

Cell lengths 4.069, 4.069, 20.322 Å; angles 90.00, 90.00, 90.00 degrees
Sites, in units of the cell vectors:
1 Tl 0.000 0.000 0.101
2 Tl 0.000 0.000 0.303
3 Tl 0.000 0.000 0.697
4 Tl 0.000 0.000 0.899
5 Pd 0.000 0.500 0.000
6 Pd 0.000 0.500 0.203
7 Pd 0.000 0.500 0.404
8 Pd 0.000 0.500 0.596
9 Pd 0.000 0.500 0.797
10 Pd 0.500 0.000 0.000
11 Pd 0.500 0.000 0.203
12 Pd 0.500 0.000 0.404
13 Pd 0.500 0.000 0.596
14 Pd 0.500 0.000 0.797
15 Pd 0.500 0.500 0.102
16 Pd 0.500 0.500 0.304
17 Pd 0.500 0.500 0.500
18 Pd 0.500 0.500 0.696
19 Pd 0.500 0.500 0.898
20 Au 0.000 0.000 0.500

=====

Here is a relaxed structure of Cd2TeSBr from Alexandria via LeMat-Bulk. Energies are from GGA-PBE.

Calculated values
For the magnetization, the calculation gives 0.0 μB/cell. As for the uncorrected formation energy: 220.3 kJ/mol of formula units.

Cell lengths 5.556, 5.556, 4.771 Å; angles 90.00, 90.00, 90.00 degrees
Sites, in units of the cell vectors:
1 Cd 0.000 0.500 0.000
2 Cd 0.500 0.000 0.000
3 Te 0.000 0.000 0.500
4 S 0.500 0.500 0.500
5 Br 0.500 0.500 0.000

=====

Here is a relaxed structure of Pm3Nd7Mg from Alexandria via LeMat-Bulk. Energies are from GGA-PBE.

Calculated values
The formation energy from the elements comes out at 0.17 eV/atom. For the magnetization, the calculation gives 0.0 μB/cell.

Cell lengths 7.182, 7.182, 8.793 Å; angles 90.00, 90.00, 120.00 degrees
Sites, in units of the cell vectors:
1 Pm 0.168 0.336 0.000
2 Pm 0.168 0.832 0.000
3 Pm 0.664 0.832 0.000
4 Nd 0.004 0.502 0.666
5 Nd 0.333 0.166 0.335
6 Nd 0.333 0.667 0.333
7 Nd 0.498 0.502 0.666
8 Nd 0.498 0.996 0.666
9 Nd 0.834 0.166 0.335
10 Nd 0.834 0.667 0.335
11 Mg 0.000 0.000 0.664